VASP calculation (PBE) on crystalline ZrAl2Se at its relaxed geometry.

Unit cell a=3.4062 b=4.9550 c=8.9229 alpha=90.00 beta=90.00 gamma=90.00
Last column: nearest neighbours and their distance in Å.
Sites, in units of the cell vectors:
Zr (0.0000, 0.0000, 0.0000)  2 Se 2.86, 6 Al 2.91-3.01
Zr (0.5000, 0.5000, 0.5000)  2 Se 2.86, 6 Al 2.91-3.01
Al (0.0000, 0.0000, 0.5071)  2 Se 2.70, 2 Al 2.76, 4 Zr 3.01
Al (0.0000, 0.5000, 0.7644)  2 Al 2.76, 2 Zr 2.91, 4 Se 3.01
Al (0.5000, 0.0000, 0.2644)  2 Al 2.76, 2 Zr 2.91, 4 Se 3.01
Al (0.5000, 0.5000, 0.0071)  2 Se 2.70, 2 Al 2.76, 4 Zr 3.01
Se (0.0000, 0.5000, 0.2422)  6 Al 2.70-3.01, 2 Zr 2.86
Se (0.5000, 0.0000, 0.7422)  6 Al 2.70-3.01, 2 Zr 2.86

Values from the calculation:
* total DFT energy (no corrections): -41.59 eV for the cell shown
* uncorrected formation energy: -0.320 eV/atom
* space group: No. 44
* mass density: 4.94 g/cm3
* total moment: 0.0 μB/f.u.

---

VASP calculation (PBE) on crystalline Ba4Sb3 at its relaxed geometry.

Unit cell a=6.8394 b=6.8394 c=6.7093 alpha=90.00 beta=90.00 gamma=120.00
Last column: nearest neighbours and their distance in Å.
Sites, in units of the cell vectors:
Ba (0.0000, 0.0000, 0.2330)  1 Ba 3.13
Ba (0.0000, 0.0000, 0.7670)  1 Ba 3.13
Ba (0.3333, 0.6667, 0.5000)  6 Sb 3.89, 9 Ba 3.95-4.34
Ba (0.6667, 0.3333, 0.5000)  6 Sb 3.89, 9 Ba 3.95-4.34
Sb (0.0000, 0.5000, 0.0000)  4 Sb 3.42, 4 Ba 3.76
Sb (0.5000, 0.0000, 0.0000)  4 Sb 3.42, 4 Ba 3.76
Sb (0.5000, 0.5000, 0.0000)  4 Sb 3.42, 4 Ba 3.76

Values from the calculation:
* total DFT energy (no corrections): -23.65 eV for the cell shown
* uncorrected formation energy: -0.513 eV/atom
* space group: No. 191
* mass density: 5.59 g/cm3
* total moment: 2.1 μB/f.u.
* energy relative to the lowest polymorph listed for this composition: 0.508 eV/atom

---

VASP calculation (PBE) on crystalline Nd12SmDy3 at its relaxed geometry.

Unit cell a=5.1658 b=5.1658 c=20.6106 alpha=90.00 beta=90.00 gamma=90.00
Last column: nearest neighbours and their distance in Å.
Sites, in units of the cell vectors:
Nd (0.0000, 0.0000, 0.0000)  8 Nd 3.64, 4 Dy 3.65
Nd (0.0000, 0.0000, 0.2490)  8 Nd 3.64-3.65, 4 Dy 3.65
Nd (0.0000, 0.0000, 0.5000)  4 Sm 3.65, 8 Nd 3.66
Nd (0.0000, 0.0000, 0.7510)  8 Nd 3.64-3.65, 4 Dy 3.65
Nd (0.0000, 0.5000, 0.1247)  8 Nd 3.64-3.65, 4 Dy 3.64
Nd (0.0000, 0.5000, 0.3740)  2 Dy 3.64, 8 Nd 3.65-3.66, 2 Sm 3.66
Nd (0.0000, 0.5000, 0.6260)  2 Dy 3.64, 8 Nd 3.65-3.66, 2 Sm 3.66
Nd (0.0000, 0.5000, 0.8753)  8 Nd 3.64-3.65, 4 Dy 3.64
Nd (0.5000, 0.0000, 0.1247)  8 Nd 3.64-3.65, 4 Dy 3.64
Nd (0.5000, 0.0000, 0.3740)  2 Dy 3.64, 8 Nd 3.65-3.66, 2 Sm 3.66
Nd (0.5000, 0.0000, 0.6260)  2 Dy 3.64, 8 Nd 3.65-3.66, 2 Sm 3.66
Nd (0.5000, 0.0000, 0.8753)  8 Nd 3.64-3.65, 4 Dy 3.64
Sm (0.5000, 0.5000, 0.5000)  12 Nd 3.65-3.66
Dy (0.5000, 0.5000, 0.0000)  12 Nd 3.64-3.65
Dy (0.5000, 0.5000, 0.2492)  12 Nd 3.64-3.65
Dy (0.5000, 0.5000, 0.7508)  12 Nd 3.64-3.65

Values from the calculation:
* total DFT energy (no corrections): -75.53 eV for the cell shown
* ΔH_f (0 K): 0.013 eV per atom
* space group: No. 123
* mass density: 7.15 g/cm3
* total moment: 0.0 μB/f.u.

---

VASP calculation (PBE) on crystalline AcLaBi2 at its relaxed geometry.

Unit cell a=6.1828 b=6.1828 c=3.5894 alpha=90.00 beta=90.00 gamma=90.00
Last column: nearest neighbours and their distance in Å.
Sites, in units of the cell vectors:
Ac (0.0000, 0.0000, 0.0000)  8 Bi 3.57, 2 Ac 3.59
La (0.5000, 0.5000, 0.0000)  8 Bi 3.57, 2 La 3.59
Bi (0.0000, 0.5000, 0.5000)  4 Ac 3.57, 4 La 3.57, 2 Bi 3.59
Bi (0.5000, 0.0000, 0.5000)  4 Ac 3.57, 4 La 3.57, 2 Bi 3.59

Values from the calculation:
* total DFT energy (no corrections): -20.07 eV for the cell shown
* ΔH_f (0 K): -0.817 eV per atom
* space group: No. 123
* mass density: 9.49 g/cm3
* total moment: 0.0 μB/f.u.
* energy relative to the lowest polymorph listed for this composition: 0.210 eV/atom

---

VASP calculation (PBE) on crystalline FeReMo2 at its relaxed geometry.

Unit cell a=2.6982 b=2.6982 c=7.8962 alpha=90.00 beta=90.00 gamma=90.00
Last column: nearest neighbours and their distance in Å.
Sites, in units of the cell vectors:
Fe (0.0000, 0.0000, 0.0000)  8 Mo 2.60, 4 Fe 2.70
Re (0.0000, 0.0000, 0.5000)  4 Re 2.70, 8 Mo 2.90
Mo (0.5000, 0.5000, 0.2236)  4 Fe 2.60, 4 Mo 2.70, 4 Re 2.90
Mo (0.5000, 0.5000, 0.7764)  4 Fe 2.60, 4 Mo 2.70, 4 Re 2.90

Values from the calculation:
* total DFT energy (no corrections): -41.79 eV for the cell shown
* ΔH_f (0 K): 0.197 eV per atom
* space group: No. 123
* mass density: 12.53 g/cm3
* total moment: 0.1 μB/f.u.
* energy relative to the lowest polymorph listed for this composition: 0.109 eV/atom

---

VASP calculation (PBE) on crystalline LaSm2Ru at its relaxed geometry.

Unit cell a=3.5060 b=3.5060 c=9.4320 alpha=90.00 beta=90.00 gamma=90.00
Last column: nearest neighbours and their distance in Å.
Sites, in units of the cell vectors:
La (0.0000, 0.0000, 0.0000)  4 La 3.51, 8 Sm 3.92
Sm (0.5000, 0.5000, 0.3224)  4 Ru 2.99, 1 Sm 3.35
Sm (0.5000, 0.5000, 0.6776)  4 Ru 2.99, 1 Sm 3.35
Ru (0.0000, 0.0000, 0.5000)  8 Sm 2.99

Values from the calculation:
* total DFT energy (no corrections): -24.12 eV for the cell shown
* ΔH_f (0 K): -0.119 eV per atom
* space group: No. 123
* mass density: 7.74 g/cm3
* total moment: 0.0 μB/f.u.
* energy relative to the lowest polymorph listed for this composition: 0.126 eV/atom

---

VASP calculation (PBE) on crystalline SmEr2Pa at its relaxed geometry.

Unit cell a=3.4249 b=3.4249 c=34.5621 alpha=90.00 beta=90.00 gamma=120.00
Last column: nearest neighbours and their distance in Å.
Sites, in units of the cell vectors:
Sm (0.0000, 0.0000, 0.0000)  6 Sm 3.42, 6 Er 3.58-3.59
Sm (0.3333, 0.6667, 0.6667)  6 Sm 3.42, 6 Er 3.58-3.59
Sm (0.6667, 0.3333, 0.3333)  6 Sm 3.42, 6 Er 3.58-3.59
Er (0.0000, 0.0000, 0.4201)  3 Pa 3.41, 6 Er 3.42, 3 Sm 3.59
Er (0.0000, 0.0000, 0.5804)  3 Pa 3.39, 6 Er 3.42, 3 Sm 3.58
Er (0.3333, 0.6667, 0.0868)  3 Pa 3.41, 6 Er 3.42, 3 Sm 3.59
Er (0.3333, 0.6667, 0.2471)  3 Pa 3.39, 6 Er 3.42, 3 Sm 3.58
Er (0.6667, 0.3333, 0.7534)  3 Pa 3.41, 6 Er 3.42, 3 Sm 3.59
Er (0.6667, 0.3333, 0.9137)  3 Pa 3.39, 6 Er 3.42, 3 Sm 3.58
Pa (0.0000, 0.0000, 0.8339)  6 Er 3.39-3.41, 6 Pa 3.42
Pa (0.3333, 0.6667, 0.5006)  6 Er 3.39-3.41, 6 Pa 3.42
Pa (0.6667, 0.3333, 0.1672)  6 Er 3.39-3.41, 6 Pa 3.42

Values from the calculation:
* total DFT energy (no corrections): -68.69 eV for the cell shown
* ΔH_f (0 K): 0.111 eV per atom
* space group: No. 160
* mass density: 10.16 g/cm3
* total moment: 0.0 μB/f.u.
* energy relative to the lowest polymorph listed for this composition: 0.000 eV/atom

---

VASP calculation (PBE) on crystalline Li6MgSn at its relaxed geometry.

Unit cell a=4.6887 b=6.6979 c=9.4863 alpha=90.00 beta=90.00 gamma=90.00
Last column: nearest neighbours and their distance in Å.
Sites, in units of the cell vectors:
Li (0.0000, 0.0000, 0.0000)  6 Li 2.70-2.85
Li (0.0000, 0.2327, 0.2875)  3 Li 2.70-2.82, 2 Mg 2.81-3.01, 2 Sn 2.95
Li (0.0000, 0.2673, 0.7875)  3 Li 2.70-2.82, 2 Mg 2.81-3.01, 2 Sn 2.95
Li (0.0000, 0.5000, 0.5000)  6 Li 2.70-2.85
Li (0.0000, 0.7327, 0.7875)  3 Li 2.70-2.82, 2 Mg 2.81-3.01, 2 Sn 2.95
Li (0.0000, 0.7673, 0.2875)  3 Li 2.70-2.82, 2 Mg 2.81-3.01, 2 Sn 2.95
Li (0.5000, 0.0000, 0.3067)  8 Li 2.82-2.92
Li (0.5000, 0.2327, 0.0460)  5 Li 2.85-3.12, 2 Sn 2.91, 2 Mg 2.95
Li (0.5000, 0.2673, 0.5460)  5 Li 2.85-3.12, 2 Sn 2.91, 2 Mg 2.95
Li (0.5000, 0.5000, 0.8067)  8 Li 2.82-2.92
Li (0.5000, 0.7327, 0.5460)  5 Li 2.85-3.12, 2 Sn 2.91, 2 Mg 2.95
Li (0.5000, 0.7673, 0.0460)  5 Li 2.85-3.12, 2 Sn 2.91, 2 Mg 2.95
Mg (0.0000, 0.0000, 0.5586)  8 Li 2.81-3.01
Mg (0.0000, 0.5000, 0.0586)  8 Li 2.81-3.01
Sn (0.5000, 0.0000, 0.7872)  10 Li 2.91-3.09, 2 Mg 3.19
Sn (0.5000, 0.5000, 0.2872)  10 Li 2.91-3.09, 2 Mg 3.19

Values from the calculation:
* total DFT energy (no corrections): -37.37 eV for the cell shown
* ΔH_f (0 K): -0.201 eV per atom
* space group: No. 38
* mass density: 2.06 g/cm3
* total moment: 0.0 μB/f.u.

---

VASP calculation (PBE) on crystalline BaSbTe at its relaxed geometry.

Unit cell a=3.5715 b=3.5715 c=17.7942 alpha=90.00 beta=90.00 gamma=90.00
Last column: nearest neighbours and their distance in Å.
Sites, in units of the cell vectors:
Ba (0.0000, 0.0000, 0.0000)  4 Te 3.56, 4 Ba 3.57, 4 Sb 3.65
Ba (0.5000, 0.5000, 0.5000)  4 Te 3.56, 4 Ba 3.57, 4 Sb 3.65
Sb (0.0000, 0.0000, 0.6481)  4 Sb 3.57, 4 Ba 3.65
Sb (0.5000, 0.5000, 0.1481)  4 Sb 3.57, 4 Ba 3.65
Te (0.0000, 0.0000, 0.3592)  4 Ba 3.56, 4 Te 3.57
Te (0.5000, 0.5000, 0.8592)  4 Ba 3.56, 4 Te 3.57

Values from the calculation:
* total DFT energy (no corrections): -20.59 eV for the cell shown
* uncorrected formation energy: -0.370 eV/atom
* space group: No. 107
* mass density: 5.66 g/cm3
* total moment: 0.0 μB/f.u.
* energy relative to the lowest polymorph listed for this composition: 0.389 eV/atom

---

VASP calculation (PBE) on crystalline MoOsW2 at its relaxed geometry.

Unit cell a=3.1492 b=4.5008 c=8.8640 alpha=90.00 beta=90.00 gamma=90.00
Last column: nearest neighbours and their distance in Å.
Sites, in units of the cell vectors:
Mo (0.0000, 0.0000, 0.0000)  4 W 2.74, 4 Mo 2.75
Mo (0.5000, 0.5000, 0.0000)  4 W 2.74, 4 Mo 2.75
Os (0.0000, 0.0000, 0.5000)  4 W 2.70, 4 Os 2.75
Os (0.5000, 0.5000, 0.5000)  4 W 2.70, 4 Os 2.75
W (0.0000, 0.5000, 0.2527)  2 Os 2.70, 2 Mo 2.74, 4 W 2.75
W (0.0000, 0.5000, 0.7473)  2 Os 2.70, 2 Mo 2.74, 4 W 2.75
W (0.5000, 0.0000, 0.2527)  2 Os 2.70, 2 Mo 2.74, 4 W 2.75
W (0.5000, 0.0000, 0.7473)  2 Os 2.70, 2 Mo 2.74, 4 W 2.75

Values from the calculation:
* total DFT energy (no corrections): -94.51 eV for the cell shown
* ΔH_f (0 K): 0.178 eV per atom
* space group: No. 65
* mass density: 17.28 g/cm3
* total moment: 0.0 μB/f.u.
* energy relative to the lowest polymorph listed for this composition: 0.042 eV/atom

---

VASP calculation (PBE) on crystalline MnAsP2 at its relaxed geometry.

Unit cell a=3.5061 b=3.9358 c=10.2111 alpha=90.00 beta=90.00 gamma=90.00
Last column: nearest neighbours and their distance in Å.
Sites, in units of the cell vectors:
Mn (0.0000, 0.0000, 0.0000)  4 P 2.44, 4 As 2.64
Mn (0.5000, 0.5000, 0.5000)  4 P 2.44, 4 As 2.64
As (0.0000, 0.0000, 0.5000)  4 P 2.59, 4 Mn 2.64
As (0.5000, 0.5000, 0.0000)  4 P 2.59, 4 Mn 2.64
P (0.0000, 0.5000, 0.3345)  2 Mn 2.44, 2 As 2.59
P (0.0000, 0.5000, 0.6655)  2 Mn 2.44, 2 As 2.59
P (0.5000, 0.0000, 0.1655)  2 Mn 2.44, 2 As 2.59
P (0.5000, 0.0000, 0.8345)  2 Mn 2.44, 2 As 2.59

Values from the calculation:
* total DFT energy (no corrections): -46.88 eV for the cell shown
* ΔH_f (0 K): 0.299 eV per atom
* space group: No. 71
* mass density: 4.52 g/cm3
* total moment: 2.9 μB/f.u.

---

VASP calculation (PBE) on crystalline BeVTcRu at its relaxed geometry.

Unit cell a=5.8587 b=5.8587 c=5.8587 alpha=90.00 beta=90.00 gamma=90.00
Last column: nearest neighbours and their distance in Å.
Sites, in units of the cell vectors:
Be (0.0000, 0.0000, 0.0000)  4 Tc 2.54, 4 Ru 2.54
Be (0.0000, 0.5000, 0.5000)  4 Tc 2.54, 4 Ru 2.54
Be (0.5000, 0.0000, 0.5000)  4 Tc 2.54, 4 Ru 2.54
Be (0.5000, 0.5000, 0.0000)  4 Tc 2.54, 4 Ru 2.54
V (0.0000, 0.0000, 0.5000)  4 Tc 2.54, 4 Ru 2.54
V (0.0000, 0.5000, 0.0000)  4 Tc 2.54, 4 Ru 2.54
V (0.5000, 0.0000, 0.0000)  4 Tc 2.54, 4 Ru 2.54
V (0.5000, 0.5000, 0.5000)  4 Tc 2.54, 4 Ru 2.54
Tc (0.2500, 0.2500, 0.7500)  4 Be 2.54, 4 V 2.54
Tc (0.2500, 0.7500, 0.2500)  4 Be 2.54, 4 V 2.54
Tc (0.7500, 0.2500, 0.2500)  4 Be 2.54, 4 V 2.54
Tc (0.7500, 0.7500, 0.7500)  4 Be 2.54, 4 V 2.54
Ru (0.2500, 0.2500, 0.2500)  4 V 2.54, 4 Be 2.54
Ru (0.2500, 0.7500, 0.7500)  4 Be 2.54, 4 V 2.54
Ru (0.7500, 0.2500, 0.7500)  4 Be 2.54, 4 V 2.54
Ru (0.7500, 0.7500, 0.2500)  4 Be 2.54, 4 V 2.54

Values from the calculation:
* total DFT energy (no corrections): -133.49 eV for the cell shown
* ΔH_f (0 K): -0.221 eV per atom
* space group: No. 216
* mass density: 8.56 g/cm3
* total moment: 0.0 μB/f.u.

---

VASP calculation (PBE) on crystalline BaPm2ZnSe5 at its relaxed geometry.

Unit cell a=9.2183 b=9.2183 c=9.2183 alpha=127.18 beta=127.18 gamma=77.95
Last column: nearest neighbours and their distance in Å.
Sites, in units of the cell vectors:
Ba (0.2500, 0.2500, 0.0000)  10 Se 3.55-3.58
Ba (0.7500, 0.7500, 0.0000)  10 Se 3.55-3.58
Pm (0.1585, 0.6585, 0.8170)  8 Se 2.92-3.16
Pm (0.3415, 0.1585, 0.5000)  8 Se 2.92-3.16
Pm (0.6585, 0.8415, 0.5000)  8 Se 2.92-3.16
Pm (0.8415, 0.3415, 0.1830)  8 Se 2.92-3.16
Zn (0.2500, 0.7500, 0.5000)  4 Se 2.43
Zn (0.7500, 0.2500, 0.5000)  4 Se 2.43
Se (0.0000, 0.0000, 0.0000)  4 Pm 3.09
Se (0.0180, 0.2174, 0.5000)  1 Zn 2.43
Se (0.2174, 0.7174, 0.1994)  1 Zn 2.43
Se (0.2826, 0.4820, 0.5000)  1 Zn 2.43
Se (0.4820, 0.9820, 0.1994)  1 Zn 2.43
Se (0.5000, 0.5000, 0.0000)  4 Pm 3.09
Se (0.5180, 0.0180, 0.8006)  1 Zn 2.43
Se (0.7174, 0.5180, 0.5000)  1 Zn 2.43
Se (0.7826, 0.2826, 0.8006)  1 Zn 2.43
Se (0.9820, 0.7826, 0.5000)  1 Zn 2.43

Values from the calculation:
* total DFT energy (no corrections): -89.75 eV for the cell shown
* uncorrected formation energy: -1.639 eV/atom
* space group: No. 140
* mass density: 6.12 g/cm3
* total moment: 0.0 μB/f.u.

---

VASP calculation (PBE) on crystalline MnZn2N at its relaxed geometry.

Unit cell a=3.0594 b=3.0594 c=22.4517 alpha=90.00 beta=90.00 gamma=120.00
Last column: nearest neighbours and their distance in Å.
Sites, in units of the cell vectors:
Mn (0.0000, 0.0000, 0.0000)  2 Zn 2.63
Mn (0.3333, 0.6667, 0.6667)  2 Zn 2.63
Mn (0.6667, 0.3333, 0.3333)  2 Zn 2.63
Zn (0.0000, 0.0000, 0.1172)  3 N 2.09
Zn (0.0000, 0.0000, 0.8828)  3 N 2.09
Zn (0.3333, 0.6667, 0.5495)  3 N 2.09
Zn (0.3333, 0.6667, 0.7839)  3 N 2.09
Zn (0.6667, 0.3333, 0.2161)  3 N 2.09
Zn (0.6667, 0.3333, 0.4505)  3 N 2.09
N (0.0000, 0.0000, 0.5000)  6 Zn 2.09
N (0.3333, 0.6667, 0.1667)  6 Zn 2.09
N (0.6667, 0.3333, 0.8333)  6 Zn 2.09

Values from the calculation:
* total DFT energy (no corrections): -51.95 eV for the cell shown
* uncorrected formation energy: 0.682 eV/atom
* space group: No. 166
* mass density: 5.47 g/cm3
* total moment: 4.0 μB/f.u.

---

VASP calculation (PBE) on crystalline InSi2Mo at its relaxed geometry.

Unit cell a=3.3009 b=3.2915 c=6.2495 alpha=90.00 beta=95.80 gamma=90.00
Last column: nearest neighbours and their distance in Å.
Sites, in units of the cell vectors:
In (0.0000, 0.0000, 0.0000)  8 Si 2.84-3.15, 2 Mo 3.12
Si (0.4732, 0.5000, 0.3010)  1 Si 2.48, 4 Mo 2.62-2.66
Si (0.5268, 0.5000, 0.6990)  1 Si 2.48, 4 Mo 2.62-2.66
Mo (0.0000, 0.0000, 0.5000)  8 Si 2.62-2.66

Values from the calculation:
* total DFT energy (no corrections): -24.09 eV for the cell shown
* uncorrected formation energy: 0.081 eV/atom
* space group: No. 10
* mass density: 6.56 g/cm3
* total moment: 0.0 μB/f.u.